Crystalline ErTmCl at its relaxed geometry, computed with PBE-GGA.

```
ErTmCl
1.0
3.5903 0.0829 -0.4045
0.0062 6.1225 1.3052
-2.8005 -1.5143 7.1152
Cl Tm Er
2 2 2
direct
0.2505 0.2515 0.0005
0.7495 0.7485 0.9995
0.0631 0.4168 0.3130
0.9369 0.5832 0.6870
0.5611 0.9166 0.3110
0.4389 0.0834 0.6890
```

Summary:
Space-group type: No. 11
E_tot: -4.51 eV per atom
N(E_F): 7.3 states/eV per cell



Crystalline ErTmCl3 at its relaxed geometry, computed with PBE-GGA.

```
ErTmCl3
1.0
-1.6927 0.7647 3.2600
6.5446 -0.1163 5.5846
2.8238 8.8824 1.5417
Cl Er Tm
6 2 2
direct
0.9668 0.3261 0.7403
0.2126 0.6900 0.8848
0.6678 0.1729 0.4914
0.0332 0.6739 0.2597
0.7874 0.3100 0.1152
0.3322 0.8271 0.5086
0.1377 0.0128 0.7119
0.8623 0.9872 0.2881
0.4243 0.1973 0.9541
0.5757 0.8027 0.0459
```

Summary:
Space-group type: No. 12
E_tot: -4.73 eV per atom



Crystalline ErUCl6 at its relaxed geometry, computed with PBE-GGA.

```
ErUCl6
1.0
6.0565 0.0064 3.1561
2.1929 5.6342 3.1739
0.0121 -0.0125 7.3706
Cl Er U
6 1 1
direct
0.6121 0.2427 0.2432
0.9026 0.6117 0.2437
0.3879 0.7573 0.7568
0.0974 0.3883 0.7563
0.7572 0.0974 0.7572
0.2428 0.9026 0.2428
0.0000 0.0000 0.0000
0.5000 0.5000 0.5000
```

Summary:
Space-group type: No. 148
E_tot: -5.31 eV per atom
N(E_F): 1.3 states/eV per cell



Crystalline ErUCl6 at its relaxed geometry, computed with PBE-GGA.

```
ErUCl6
1.0
-5.7577 2.8176 -2.9746
0.9169 -6.9639 0.7751
-1.5515 1.3964 6.4044
U Cl Er
1 6 1
direct
0.5000 0.5000 0.5000
0.3811 0.0942 0.2408
0.6189 0.9058 0.7592
0.2471 0.2471 0.7584
0.9058 0.6189 0.7592
0.7529 0.7529 0.2416
0.0942 0.3811 0.2408
0.0000 0.0000 0.0000
```

Summary:
Space-group type: No. 12
E_tot: -5.31 eV per atom
N(E_F): 2.4 states/eV per cell



Crystalline ErVCl at its relaxed geometry, computed with PBE-GGA.

```
ErVCl
1.0
4.5682 1.0163 0.5890
3.0096 3.8953 0.2841
1.1440 -0.2326 8.8531
Er Cl V
2 2 2
direct
0.5985 0.7901 0.4661
0.3489 0.0838 0.0563
0.6331 0.3788 0.9847
0.9630 0.0401 0.3237
0.9991 0.4292 0.7432
0.5951 0.2305 0.7256
```

Summary:
Space-group type: No. 1
E_tot: -5.57 eV per atom
N(E_F): 5.0 states/eV per cell



Crystalline Er2VCl at its relaxed geometry, computed with PBE-GGA.

```
Er2VCl
1.0
-1.2572 2.7400 -1.2793
-3.1949 0.6423 0.3237
0.3845 6.0421 8.3710
Er Cl V
2 1 1
direct
0.9073 0.9073 0.2782
0.0927 0.0927 0.7218
0.5000 0.5000 0.5000
0.0000 0.0000 0.0000
```

Summary:
Space-group type: No. 166
E_tot: -5.00 eV per atom
N(E_F): 4.7 states/eV per cell



Crystalline ErV2Cl8 at its relaxed geometry, computed with PBE-GGA.

```
ErV2Cl8
1.0
-0.4326 -3.3165 -5.2879
7.7433 -0.4258 -0.7888
1.7802 -6.6718 3.6165
Cl Er V
8 1 2
direct
0.7293 0.1750 0.1750
0.7645 0.0799 0.7189
0.2707 0.8250 0.8250
0.2355 0.2811 0.9201
0.7813 0.6216 0.6216
0.2355 0.9201 0.2811
0.7645 0.7189 0.0799
0.2187 0.3784 0.3784
0.0000 0.0000 0.0000
0.3545 0.2088 0.2088
0.6455 0.7912 0.7912
```

Summary:
Space-group type: No. 12
E_tot: -4.83 eV per atom
N(E_F): 5.7 states/eV per cell



Crystalline YErCl at its relaxed geometry, computed with PBE-GGA.

```
YErCl
1.0
3.6649 0.0000 0.0000
-1.8325 3.1739 0.0000
0.0000 0.0000 6.9188
Y Cl Er
1 1 1
direct
0.3333 0.6667 0.6434
0.6667 0.3333 0.3332
0.0000 0.0000 0.0234
```

Summary:
Space-group type: No. 156
E_tot: -5.20 eV per atom
N(E_F): 3.7 states/eV per cell



Crystalline Y2ErCl at its relaxed geometry, computed with PBE-GGA.

```
Y2ErCl
1.0
-2.4881 0.5483 2.5564
0.3587 -1.5647 3.2325
4.3531 7.5199 5.1718
Y Cl Er
2 1 1
direct
0.7396 0.7396 0.7812
0.2604 0.2604 0.2188
0.0000 0.0000 0.0000
0.5000 0.5000 0.5000
```

Summary:
Space-group type: No. 166
E_tot: -5.49 eV per atom
N(E_F): 4.8 states/eV per cell



Crystalline YErCl3 at its relaxed geometry, computed with PBE-GGA.

```
YErCl3
1.0
-1.6560 -3.2609 -1.1165
6.0659 -4.0334 -3.7655
3.7833 -6.2533 6.1039
Y Er Cl
2 2 6
direct
0.4168 0.2141 0.9524
0.5832 0.7859 0.0476
0.1379 0.0137 0.7104
0.8621 0.9863 0.2896
0.7765 0.3267 0.1203
0.2235 0.6733 0.8797
0.9612 0.3420 0.7357
0.0388 0.6580 0.2643
0.6638 0.1787 0.4937
0.3362 0.8213 0.5063
```

Summary:
Space-group type: No. 12
E_tot: -5.14 eV per atom



Crystalline YEr3Cl at its relaxed geometry, computed with PBE-GGA.

```
YEr3Cl
1.0
-1.0806 4.5208 2.4044
-3.5390 -2.4353 2.9884
3.7005 -1.0089 3.5601
Cl Er Y
1 3 1
direct
0.0000 0.0000 0.0000
0.5000 0.0000 0.0000
0.0000 0.0000 0.5000
0.0000 0.5000 0.0000
0.5000 0.5000 0.5000
```

Summary:
Space-group type: No. 221
E_tot: -4.82 eV per atom
N(E_F): 6.8 states/eV per cell



Crystalline YEr2Cl at its relaxed geometry, computed with PBE-GGA.

```
YEr2Cl
1.0
3.4200 0.0000 0.0000
1.7100 2.9618 0.0000
1.7100 0.9873 11.1541
Cl Er Y
1 2 1
direct
0.5000 0.5000 0.5000
0.1006 0.1006 0.6983
0.8994 0.8994 0.3017
0.0000 0.0000 0.0000
```

Summary:
Space-group type: No. 166
E_tot: -4.69 eV per atom
N(E_F): 5.3 states/eV per cell



Crystalline ErZnCl5 at its relaxed geometry, computed with PBE-GGA.

```
ErZnCl5
1.0
-5.9878 0.0492 -3.9234
-0.0153 -5.9656 3.9574
-1.2925 7.1388 6.4281
Zn Cl Er
2 10 2
direct
0.3003 0.6997 0.2500
0.6997 0.3003 0.7500
0.9546 0.3388 0.6435
0.3388 0.9546 0.1435
0.9117 0.0883 0.2500
0.0454 0.6612 0.3565
0.6612 0.0454 0.8565
0.6054 0.7643 0.4398
0.3946 0.2357 0.5602
0.0883 0.9117 0.7500
0.7643 0.6054 0.9398
0.2357 0.3946 0.0602
0.0000 0.0000 0.0000
0.0000 0.0000 0.5000
```

Summary:
Space-group type: No. 15
E_tot: -3.92 eV per atom
N(E_F): 0.0 states/eV per cell



Crystalline ErZnCl6 at its relaxed geometry, computed with PBE-GGA.

```
ErZnCl6
1.0
-6.0246 0.4625 -2.0206
-2.1080 -3.8350 -4.6299
-4.3617 -5.0574 1.7545
Cl Zn Er
6 1 1
direct
0.3995 0.7610 0.7563
0.7594 0.0818 0.7586
0.9188 0.5995 0.2436
0.2406 0.9182 0.2414
0.6005 0.2390 0.2437
0.0812 0.4005 0.7564
0.0000 0.0000 0.0000
0.5000 0.5000 0.5000
```

Summary:
Space-group type: No. 2
E_tot: -3.47 eV per atom
N(E_F): 13.4 states/eV per cell



Crystalline Er2ZrCl at its relaxed geometry, computed with PBE-GGA.

```
Er2ZrCl
1.0
3.4955 0.0000 0.0000
1.7478 3.0272 0.0000
1.7478 1.0091 9.4778
Cl Er Zr
1 2 1
direct
0.0000 0.0000 0.0000
0.7440 0.7440 0.7680
0.2560 0.2560 0.2320
0.5000 0.5000 0.5000
```

Summary:
Space-group type: No. 166
E_tot: -5.49 eV per atom
N(E_F): 5.3 states/eV per cell



Crystalline ErZrCl at its relaxed geometry, computed with PBE-GGA.

```
ErZrCl
1.0
-0.8572 -3.0540 1.2772
5.1391 -0.9884 1.0908
-3.0571 5.3887 6.2332
Er Zr Cl
2 2 2
direct
0.8294 0.7129 0.9940
0.5499 0.9379 0.4392
0.2213 0.1074 0.7814
0.1580 0.5435 0.6518
0.5293 0.4162 0.3957
0.8500 0.2346 0.0376
```

Summary:
Space-group type: No. 2
E_tot: -5.78 eV per atom
N(E_F): 4.5 states/eV per cell



Crystalline EuCl2 at its relaxed geometry, computed with PBE-GGA.

```
EuCl2
1.0
4.5813 0.0000 0.0000
0.0000 7.5217 0.0000
0.0000 0.0000 9.0662
Cl Eu
8 4
direct
0.7500 0.4860 0.6604
0.2500 0.1407 0.5795
0.2500 0.5140 0.3396
0.7500 0.8593 0.4205
0.7500 0.3593 0.0795
0.2500 0.6407 0.9205
0.7500 0.9860 0.8396
0.2500 0.0140 0.1604
0.2500 0.7436 0.6051
0.2500 0.2436 0.8949
0.7500 0.7564 0.1051
0.7500 0.2564 0.3949
```

Summary:
Space-group type: No. 62
E_tot: -7.01 eV per atom



Crystalline EuCl2 at its relaxed geometry, computed with PBE-GGA.

```
EuCl2
1.0
4.4165 0.0000 0.0000
0.0000 6.7328 0.0000
0.0000 0.0000 6.7328
Cl Eu
4 2
direct
0.0000 0.6961 0.6961
0.5000 0.8039 0.1961
0.5000 0.1961 0.8039
0.0000 0.3039 0.3039
0.5000 0.5000 0.5000
0.0000 0.0000 0.0000
```

Summary:
Space-group type: No. 136
E_tot: -7.02 eV per atom
N(E_F): 0.0 states/eV per cell



Crystalline EuClF at its relaxed geometry, computed with PBE-GGA.

```
EuClF
1.0
-1.6702 -0.7504 -3.6925
1.6683 -3.7687 0.0112
-5.7806 -2.5496 3.1328
F Cl Eu
2 2 2
direct
0.5000 0.5000 0.0000
0.0000 0.0000 0.0000
0.0000 0.5000 0.3564
0.5000 0.0000 0.6436
0.0000 0.5000 0.7940
0.5000 0.0000 0.2060
```

Summary:
Polymorph energy (0 for the lowest one): 0.000 eV/f.u.
Space-group type: No. 129



Crystalline EuClF at its relaxed geometry, computed with PBE-GGA.

```
EuClF
1.0
-3.7987 1.4148 -0.8053
0.8866 -1.5295 3.7357
1.1832 3.9339 1.3298
Cl Eu F
1 1 1
direct
0.0000 0.0000 0.9999
0.6667 0.3333 0.5002
0.3333 0.6667 0.4999
```

Summary:
Polymorph energy (0 for the lowest one): 0.233 eV/f.u.
Space-group type: No. 187
N(E_F): 8.9 states/eV per cell



Crystalline EuClF at its relaxed geometry, computed with PBE-GGA.

```
EuClF
1.0
3.4979 0.0000 0.0000
0.0000 3.4979 0.0000
-1.7490 -1.7490 4.9273
Cl F Eu
1 1 1
direct
0.3245 0.3245 0.6489
0.0491 0.0491 0.0983
0.6264 0.6264 0.2528
```

Summary:
Polymorph energy (0 for the lowest one): 0.973 eV/f.u.
Space-group type: No. 107
N(E_F): 11.3 states/eV per cell



Crystalline EuClF at its relaxed geometry, computed with PBE-GGA.

```
EuClF
1.0
4.6010 0.0000 0.0000
2.3005 3.9846 0.0000
2.3005 1.3282 3.7567
Eu Cl F
1 1 1
direct
0.2500 0.2500 0.2500
0.0000 0.0000 0.0000
0.5000 0.5000 0.5000
```

Summary:
Polymorph energy (0 for the lowest one): 0.602 eV/f.u.
Space-group type: No. 216



Crystalline Eu2GaCl at its relaxed geometry, computed with PBE-GGA.

```
Eu2GaCl
1.0
-2.8030 1.5243 1.6679
1.3961 -0.9213 3.1882
4.0652 7.1596 0.2887
Cl Ga Eu
1 1 2
direct
0.5000 0.5000 0.5000
0.5000 0.5000 0.0000
0.0000 0.0000 0.7626
0.0000 0.0000 0.2374
```

Summary:
Polymorph energy (0 for the lowest one): 0.099 eV/f.u.
Space-group type: No. 123
N(E_F): 9.4 states/eV per cell



Crystalline Eu2GaCl at its relaxed geometry, computed with PBE-GGA.

```
Eu2GaCl
1.0
4.1391 0.0000 0.0000
2.0696 3.5846 0.0000
2.0696 1.1949 7.8454
Cl Ga Eu
1 1 2
direct
0.5000 0.5000 0.5000
0.0000 0.0000 0.0000
0.7511 0.7511 0.7466
0.2489 0.2489 0.2534
```

Summary:
Polymorph energy (0 for the lowest one): 0.000 eV/f.u.
Space-group type: No. 166
N(E_F): 17.0 states/eV per cell



Crystalline Eu2GdCl at its relaxed geometry, computed with PBE-GGA.

```
Eu2GdCl
1.0
3.7997 0.0000 0.0000
1.8998 3.2906 0.0000
1.8998 1.0969 10.5931
Eu Cl Gd
2 1 1
direct
0.7360 0.7360 0.7921
0.2640 0.2640 0.2079
0.0000 0.0000 0.0000
0.5000 0.5000 0.5000
```

Summary:
Space-group type: No. 166
E_tot: -9.89 eV per atom
N(E_F): 4.7 states/eV per cell



Crystalline Eu2GeCl at its relaxed geometry, computed with PBE-GGA.

```
Eu2GeCl
1.0
3.6042 0.0000 0.0000
0.0000 3.6042 0.0000
0.0000 0.0000 8.0481
Cl Ge Eu
1 1 2
direct
0.5000 0.5000 0.0000
0.5000 0.5000 0.5000
0.0000 0.0000 0.7336
0.0000 0.0000 0.2664
```

Summary:
Polymorph energy (0 for the lowest one): 0.215 eV/f.u.
Space-group type: No. 123
N(E_F): 8.1 states/eV per cell



| no. | M_tot (μB per formula unit) |
| --- | --- |
| 1 | 0.101 |
| 2 | 0.000 |
| 3 | 3.000 |
| 4 | 3.000 |
| 5 | 0.045 |
| 6 | 3.032 |
| 7 | 5.000 |
| 8 | 0.205 |
| 9 | 0.008 |
| 10 | 0.000 |
| 11 | 0.000 |
| 12 | 1.299 |
| 13 | 0.000 |
| 14 | 1.072 |
| 15 | 0.000 |
| 16 | 0.000 |
| 17 | 7.000 |
| 18 | 7.000 |
| 19 | 7.000 |
| 20 | 7.000 |
| 21 | 7.000 |
| 22 | 7.000 |
| 23 | 14.165 |
| 24 | 14.337 |
| 25 | 6.959 |
| 26 | 14.301 |